# MgMnI2

Crystalline MgMnI2 at its relaxed geometry (GGA-PBE, the Alexandria database).

Cell and atoms, written as POSCAR:
```
MgMnI2
1.0
-4.379 4.379 3.636
4.379 -4.379 3.636
4.379 4.379 -3.636
Mg Mn I
2 2 4
Cartesian
0.000 0.000 0.000 Mg
0.000 4.379 1.818 Mg
4.379 0.000 1.818 Mn
0.000 0.000 3.636 Mn
2.189 2.950 -0.909 I
5.808 2.189 0.909 I
2.189 1.429 2.727 I
-1.429 2.189 4.545 I
```

* formation energy without anion corrections: 0.040 eV per atom
* energy relative to the lowest polymorph listed for this composition: 0 meV per atom
* VASP energy: -3.43 eV/atom


# MgMn3I

Crystalline MgMn3I at its relaxed geometry (GGA-PBE, the Alexandria database).

Cell and atoms, written as POSCAR:
```
MgMn3I
1.0
5.158 0.000 0.000
0.000 5.158 0.000
0.000 0.000 5.158
Mg Mn I
1 3 1
Cartesian
0.000 0.000 0.000 Mg
0.000 0.000 2.579 Mn
0.000 2.579 0.000 Mn
2.579 0.000 0.000 Mn
2.579 2.579 2.579 I
```

* formation energy without anion corrections: 1.202 eV per atom
* energy relative to the lowest polymorph listed for this composition: 0 meV per atom
* VASP energy: -4.93 eV/atom


# Mg2Mn2I

Crystalline Mg2Mn2I at its relaxed geometry (GGA-PBE, the Alexandria database).

Cell and atoms, written as POSCAR:
```
Mg2Mn2I
1.0
7.348 0.000 0.000
0.000 7.348 0.000
0.000 0.000 3.880
Mg Mn I
4 4 2
Cartesian
1.122 2.552 0.000 Mg
2.552 6.226 0.000 Mg
4.796 1.122 0.000 Mg
6.226 4.796 0.000 Mg
0.971 4.645 1.940 Mn
2.703 0.971 1.940 Mn
4.645 6.377 1.940 Mn
6.377 2.703 1.940 Mn
0.000 0.000 1.940 I
3.674 3.674 1.940 I
```

* formation energy without anion corrections: 0.350 eV per atom
* energy relative to the lowest polymorph listed for this composition: 0 meV per atom
* VASP energy: -4.27 eV/atom


# Mg2MnIN

Crystalline Mg2MnIN at its relaxed geometry (GGA-PBE, the Alexandria database).

Cell and atoms, written as POSCAR:
```
Mg2MnIN
1.0
4.910 0.000 0.000
0.000 4.910 0.000
0.000 0.000 3.858
Mg Mn I N
2 1 1 1
Cartesian
0.000 2.455 0.000 Mg
2.455 0.000 0.000 Mg
0.000 0.000 1.929 Mn
2.455 2.455 1.929 I
0.000 0.000 0.000 N
```

* formation energy without anion corrections: -0.056 eV per atom
* VASP energy: -4.50 eV/atom


# NaMg2MnI

Crystalline NaMg2MnI at its relaxed geometry (GGA-PBE, the Alexandria database).

Cell and atoms, written as POSCAR:
```
NaMg2MnI
1.0
5.480 0.000 0.000
0.000 5.480 0.000
0.000 0.000 5.250
Na Mg Mn I
1 2 1 1
Cartesian
0.000 0.000 0.000 Na
0.000 2.740 2.625 Mg
2.740 0.000 2.625 Mg
2.740 2.740 0.000 Mn
0.000 0.000 2.625 I
```

* formation energy without anion corrections: 0.784 eV per atom
* VASP energy: -2.26 eV/atom